Density functional theory data (GGA-PBE) for HfPaAg after structural relaxation.

```
HfPaAg
1.0
0.0000 3.3930 3.3930
3.3930 0.0000 3.3930
3.3930 3.3930 0.0000
Hf Pa Ag
1 1 1
direct
0.0000 0.0000 0.0000
0.5000 0.5000 0.5000
0.2500 0.2500 0.2500
```

## Properties
For the spin magnetization, the calculation gives 2.191 μB per formula unit. As for the energy above the most stable polymorph in this dataset: 0 meV/atom. The value obtained for the calculated volume is 26.04 Å³ per atom. Its symmetry is No. 216. The formation energy comes out at 17.3 kcal/mol of atoms.



Density functional theory data (GGA-PBE) for HfAg2Pb2 after structural relaxation.

```
HfAg2Pb2
1.0
-2.2132 2.2132 6.2745
2.2132 -2.2132 6.2745
2.2132 2.2132 -6.2745
Hf Ag Pb
1 2 2
direct
0.0000 0.0000 0.0000
0.3994 0.3994 0.0000
0.6006 0.6006 0.0000
0.2500 0.7500 0.5000
0.7500 0.2500 0.5000
```

## Properties
For the spin magnetization, the calculation gives 0.016 μB per formula unit. The value obtained for the calculated volume is 24.59 Å³ per atom. Its total DFT energy (no corrections) is -20.34 eV for the cell shown. Its symmetry is No. 139.



Density functional theory data (GGA-PBE) for Hf3Ag4Pb4 after structural relaxation.

```
Hf3Ag4Pb4
1.0
6.8998 0.0000 0.0000
0.0000 4.5793 0.0000
-0.1238 0.0000 8.0733
Hf Ag Pb
3 4 4
direct
0.0000 0.0000 0.0000
0.0227 0.5000 0.4309
0.5310 0.0000 0.9805
0.1123 0.5000 0.7847
0.2631 0.0000 0.3109
0.7824 0.5000 0.1217
0.8882 0.0000 0.6499
0.2839 0.5000 0.1104
0.3173 0.0000 0.6488
0.6778 0.5000 0.7618
0.7126 0.0000 0.3293
```

## Properties
For the spin magnetization, the calculation gives 0.012 μB per formula unit. As for the energy above the most stable polymorph in this dataset: 0 meV/atom. The value obtained for the calculated volume is 23.19 Å³ per atom. Its symmetry is No. 6.



Density functional theory data (GGA-PBE) for HfAg2Pb after structural relaxation.

```
HfAg2Pb
1.0
0.0000 3.4543 3.4543
3.4543 0.0000 3.4543
3.4543 3.4543 0.0000
Hf Ag Pb
1 2 1
direct
0.0000 0.0000 0.0000
0.2500 0.2500 0.2500
0.5000 0.5000 0.5000
0.7500 0.7500 0.7500
```

## Properties
For the spin magnetization, the calculation gives 0.000 μB per formula unit. The value obtained for the calculated volume is 20.61 Å³ per atom. Its total DFT energy (no corrections) is -18.68 eV for the cell shown. Its symmetry is No. 216.